# 1
{"formula": "Er2Al9Ni3", "functional": "PBE", "state": "optimized geometry", "cell": [[-0.3277, 4.5242, -5.9144], [5.3519, -5.1640, 0.4964], [-7.0319, -7.3859, -0.5721]], "species": ["Er", "Er", "Er", "Er", "Al", "Al", "Al", "Al", "Al", "Al", "Al", "Al", "Al", "Al", "Al", "Al", "Al", "Al", "Al", "Al", "Al", "Al", "Ni", "Ni", "Ni", "Ni", "Ni", "Ni"], "fractional_positions": [[0.3358, 0.2466, 0.7500], [0.6642, 0.7534, 0.2500], [0.9966, 0.5858, 0.7500], [0.0034, 0.4142, 0.2500], [0.4543, 0.9185, 0.7481], [0.5457, 0.0815, 0.2519], [0.6704, 0.7063, 0.7519], [0.3296, 0.2937, 0.2481], [0.4492, 0.6402, 0.9286], [0.5508, 0.3598, 0.0714], [0.2116, 0.5206, 0.5714], [0.7884, 0.4794, 0.4286], [0.8837, 0.1337, 0.7500], [0.1163, 0.8663, 0.2500], [0.1360, 0.9846, 0.9494], [0.8640, 0.0154, 0.0506], [0.5353, 0.1866, 0.5506], [0.4647, 0.8134, 0.4494], [0.8805, 0.8570, 0.5694], [0.1195, 0.1430, 0.4306], [0.7875, 0.3111, 0.9306], [0.2125, 0.6889, 0.0694], [0.5000, 0.0000, 0.0000], [0.5000, 0.5000, 0.5000], [0.8406, 0.1707, 0.4994], [0.1594, 0.8293, 0.5006], [0.1712, 0.3411, 0.0006], [0.8288, 0.6589, 0.9994]], "delta_e_f_ev_per_atom": -0.560}

# 2
{"formula": "Pm6GeP5", "functional": "PBE", "state": "optimized geometry", "cell": [[7.0684, -0.1108, -1.3351], [-3.8197, 5.9485, -1.3351], [0.1321, 0.2374, 7.1686]], "species": ["P", "P", "P", "P", "P", "Ge", "Pm", "Pm", "Pm", "Pm", "Pm", "Pm"], "fractional_positions": [[0.8336, 0.1664, 0.5000], [0.6664, 0.3336, 0.0000], [0.5000, 0.5000, 0.5000], [0.3336, 0.6664, 0.0000], [0.1664, 0.8336, 0.5000], [0.0000, 0.0000, 0.0000], [0.4253, 0.0841, 0.2527], [0.9159, 0.5747, 0.7473], [0.2562, 0.2562, 0.7457], [0.7438, 0.7438, 0.2543], [0.0841, 0.4253, 0.2527], [0.5747, 0.9159, 0.7473]], "delta_e_f_ev_per_atom": -1.398}

# 3
{"formula": "Zr2CrNi", "functional": "PBE", "state": "optimized geometry", "cell": [[-0.7846, 0.7668, -3.0403], [1.7048, -2.5202, -1.0755], [-3.5516, -6.2472, -0.6590]], "species": ["Cr", "Ni", "Zr", "Zr"], "fractional_positions": [[0.5000, 0.2500, 0.2500], [0.5000, 0.7500, 0.7500], [0.0000, 0.9969, 0.0036], [0.0000, 0.5031, 0.4964]], "e_above_lowest_polymorph_mev_per_atom": 0.0, "delta_e_f_ev_per_atom": -0.113}

# 4
{"formula": "Ba4HPtBr2", "functional": "PBE", "state": "optimized geometry", "cell": [[4.4919, 0.0000, 0.0000], [0.0000, 7.6046, 0.1029], [0.0000, -2.6893, 8.3101]], "species": ["Ba", "Ba", "Ba", "Ba", "H", "Pt", "Br", "Br"], "fractional_positions": [[0.5000, 0.2420, 0.2102], [0.5000, 0.7580, 0.7898], [0.0000, 0.2645, 0.7917], [0.0000, 0.7355, 0.2083], [0.5000, 0.5000, 0.0000], [0.0000, 0.0000, 0.0000], [0.5000, 0.0000, 0.5000], [0.0000, 0.5000, 0.5000]], "final_energy_ev_per_fu": -29.24}

Ordered size of the total moment results: 0.0, 0.0, 0.7, 0.0; unit μB per formula unit.
Ordered density results: 5.630, 6.017, 7.227, 5.272; unit g cm⁻³.